VASP calculation (GGA-PBE) on crystalline TbYGa4Pt2 at its relaxed geometry.

CIF file:
```
data_TbYGa4Pt2
_chemical_formula_sum 'Tb2 Y2 Ga8 Pt4'
_cell_length_a 6.731
_cell_length_b 4.372
_cell_length_c 10.218
_cell_angle_alpha 90.00
_cell_angle_beta 90.00
_cell_angle_gamma 90.00
_space_group_name_H-M_alt 'A m m 2'
_space_group_IT_number 38
loop_
_space_group_symop_operation_xyz
'x,y,z'
'-x,-y,z'
'-x,y,z'
'x,-y,z'
'x,y+1/2,z+1/2'
'-x,-y+1/2,z+1/2'
'-x,y+1/2,z+1/2'
'x,-y+1/2,z+1/2'
loop_
_atom_site_label
_atom_site_type_symbol
_atom_site_fract_x
_atom_site_fract_y
_atom_site_fract_z
Tb1 Tb 0.000 0.000 0.000
Y1 Y 0.500 0.000 0.167
Ga1 Ga 0.198 0.000 0.714
Ga2 Ga 0.303 0.000 0.453
Pt1 Pt 0.000 0.000 0.288
Pt2 Pt 0.500 0.000 0.879
```

Values from the calculation:
The calculation puts the total energy at -5.347 eV/atom.

VASP calculation (GGA-PBE) on crystalline GaTcPt at its relaxed geometry.

CIF file:
```
data_GaTcPt
_chemical_formula_sum 'Ga4 Tc4 Pt4'
_cell_length_a 6.003
_cell_length_b 6.003
_cell_length_c 6.003
_cell_angle_alpha 90.00
_cell_angle_beta 90.00
_cell_angle_gamma 90.00
_space_group_name_H-M_alt 'F -4 3 m'
_space_group_IT_number 216
_space_group_name_Hall 'F -4 2 3'
loop_
_atom_site_label
_atom_site_type_symbol
_atom_site_fract_x
_atom_site_fract_y
_atom_site_fract_z
Ga1 Ga 0.000 0.000 0.000
Tc1 Tc 0.000 0.000 0.500
Pt1 Pt 0.250 0.250 0.250
```

Values from the calculation:
Its energy above the lowest structure with this stoichiometry is 0.000 eV per atom.

VASP calculation (GGA-PBE) on crystalline Ga2TcPt at its relaxed geometry.

CIF file:
```
data_Ga2TcPt
_chemical_formula_sum 'Ga8 Tc4 Pt4'
_cell_length_a 6.266
_cell_length_b 6.266
_cell_length_c 6.266
_cell_angle_alpha 90.00
_cell_angle_beta 90.00
_cell_angle_gamma 90.00
_space_group_name_H-M_alt 'F -4 3 m'
_space_group_IT_number 216
_space_group_name_Hall 'F -4 2 3'
loop_
_atom_site_label
_atom_site_type_symbol
_atom_site_fract_x
_atom_site_fract_y
_atom_site_fract_z
Ga1 Ga 0.000 0.000 0.000
Ga2 Ga 0.250 0.250 0.250
Tc1 Tc 0.250 0.250 0.750
Pt1 Pt 0.000 0.000 0.500
```

Values from the calculation:
The calculation puts the total energy at -5.568 eV/atom.

Question: What is the formula in the first record?
Answer: TbYGa4Pt2

Question: What is the formula in the second record?
Answer: GaTcPt

Question: Which formula does entry 2 have?
Answer: GaTcPt